Entry 1:
An optimized crystal structure of NdSbN2O, computed with PBE.

Theoretical density: 7.8 Mg/m³
Total magnetic moment: 0.0 Bohr magnetons per cell
E: -6.9752 eV per atom

The structure in CIF format:
```
data_NdSbN2O
_cell_length_a 8.156
_cell_length_b 5.709
_cell_length_c 5.689
_cell_angle_alpha 90.00
_cell_angle_beta 90.00
_cell_angle_gamma 90.00
_space_group_name_H-M_alt 'I m a 2'
_space_group_IT_number 46
loop_
_space_group_symop_operation_xyz
'x,y,z'
'-x,-y,z'
'-x+1/2,y,z'
'x+1/2,-y,z'
'x+1/2,y+1/2,z+1/2'
'-x+1/2,-y+1/2,z+1/2'
'-x,y+1/2,z+1/2'
'x,-y+1/2,z+1/2'
loop_
_atom_site_label
_atom_site_type_symbol
_atom_site_fract_x
_atom_site_fract_y
_atom_site_fract_z
Nd1 Nd 0.250 0.021 0.000
Sb1 Sb 0.000 0.000 0.502
N1 N 0.058 0.249 0.251
O1 O 0.250 0.597 0.008
```



Entry 2:
An optimized crystal structure of NdSbN2O, computed with PBE.

Theoretical density: 7.8 Mg/m³
Total magnetic moment: 0.0 Bohr magnetons per cell
E: -6.9875 eV per atom

The structure in CIF format:
```
data_NdSbN2O
_cell_length_a 8.119
_cell_length_b 8.042
_cell_length_c 5.694
_cell_angle_alpha 90.00
_cell_angle_beta 134.52
_cell_angle_gamma 90.00
_space_group_name_H-M_alt 'C 1 2/m 1'
_space_group_IT_number 12
loop_
_space_group_symop_operation_xyz
'x,y,z'
'-x,-y,-z'
'-x,y,-z'
'x,-y,z'
'x+1/2,y+1/2,z'
'-x+1/2,-y+1/2,-z'
'-x+1/2,y+1/2,-z'
'x+1/2,-y+1/2,z'
loop_
_atom_site_label
_atom_site_type_symbol
_atom_site_fract_x
_atom_site_fract_y
_atom_site_fract_z
Nd1 Nd 0.236 0.000 0.475
Sb1 Sb 0.250 0.250 0.000
N1 N 0.000 0.198 0.000
N2 N 0.154 0.500 0.885
O1 O 0.000 0.187 0.500
```



Entry 3:
An optimized crystal structure of NdSc2NO2, computed with PBE.

Theoretical density: 6.2 Mg/m³
Total magnetic moment: 0.0 Bohr magnetons per cell
E: -8.5076 eV per atom

The structure in CIF format:
```
data_NdSc2NO2
_cell_length_a 3.2224
_cell_length_b 3.2224
_cell_length_c 8.3512
_cell_angle_alpha 90.00
_cell_angle_beta 90.00
_cell_angle_gamma 120.00
_space_group_name_H-M_alt 'P -3 m 1'
_space_group_IT_number 164
_space_group_name_Hall '-P 3 2"'
loop_
_atom_site_label
_atom_site_type_symbol
_atom_site_fract_x
_atom_site_fract_y
_atom_site_fract_z
Nd1 Nd 0.0000 0.0000 0.0000
Sc1 Sc 0.3333 0.6667 0.3482
N1 N 0.0000 0.0000 0.5000
O1 O 0.3333 0.6667 0.7914
```



Entry 4:
An optimized crystal structure of NdSmNO, computed with PBE.

E above lowest polymorph: 13.0 kJ/mol of atoms
Theoretical density: 6.8 Mg/m³
Total magnetic moment: 0.0 Bohr magnetons per cell
E: -7.6278 eV per atom

The structure in CIF format:
```
data_NdSmNO
_cell_length_a 3.949
_cell_length_b 6.837
_cell_length_c 5.891
_cell_angle_alpha 90.00
_cell_angle_beta 90.00
_cell_angle_gamma 90.00
_space_group_name_H-M_alt 'P m c 21'
_space_group_IT_number 26
loop_
_space_group_symop_operation_xyz
'x,y,z'
'-x,-y,z+1/2'
'-x,y,z'
'x,-y,z+1/2'
loop_
_atom_site_label
_atom_site_type_symbol
_atom_site_fract_x
_atom_site_fract_y
_atom_site_fract_z
Nd1 Nd 0.000 0.165 0.000
Sm1 Sm 0.500 0.333 0.502
N1 N 0.000 0.169 0.405
O1 O 0.500 0.337 0.892
```



Entry 5:
An optimized crystal structure of NdSmNO, computed with PBE.

E above lowest polymorph: 4.2 kJ/mol of atoms
Theoretical density: 7.3 Mg/m³
Total magnetic moment: 0.0 Bohr magnetons per cell
E: -7.7194 eV per atom

The structure in CIF format:
```
data_NdSmNO
_cell_length_a 8.317
_cell_length_b 6.845
_cell_length_c 5.154
_cell_angle_alpha 90.00
_cell_angle_beta 90.00
_cell_angle_gamma 90.00
_space_group_name_H-M_alt 'P b c m'
_space_group_IT_number 57
loop_
_space_group_symop_operation_xyz
'x,y,z'
'-x,-y,-z'
'-x,-y,z+1/2'
'x,y,-z+1/2'
'x,-y+1/2,-z'
'-x,y+1/2,z'
'-x,y+1/2,-z+1/2'
'x,-y+1/2,z+1/2'
loop_
_atom_site_label
_atom_site_type_symbol
_atom_site_fract_x
_atom_site_fract_y
_atom_site_fract_z
Nd1 Nd 0.128 0.081 0.250
Sm1 Sm 0.378 0.573 0.250
N1 N 0.129 0.069 0.750
O1 O 0.375 0.593 0.750
```



Entry 6:
An optimized crystal structure of NdSmNO, computed with PBE.

E above lowest polymorph: 50.4 kJ/mol of atoms
Theoretical density: 7.0 Mg/m³
Total magnetic moment: 1.4 Bohr magnetons per cell
E: -7.2402 eV per atom

The structure in CIF format:
```
data_NdSmNO
_cell_length_a 4.336
_cell_length_b 4.336
_cell_length_c 8.190
_cell_angle_alpha 90.00
_cell_angle_beta 90.00
_cell_angle_gamma 90.00
_space_group_name_H-M_alt 'P 4/n m m'
_space_group_IT_number 129
loop_
_space_group_symop_operation_xyz
'x,y,z'
'-x,-y,-z'
'-y+1/2,x,z'
'y+1/2,-x,-z'
'-x+1/2,-y+1/2,z'
'x+1/2,y+1/2,-z'
'y,-x+1/2,z'
'-y,x+1/2,-z'
'x+1/2,-y,-z'
'-x+1/2,y,z'
'-y,-x,-z'
'y,x,z'
'-x,y+1/2,-z'
'x,-y+1/2,z'
'y+1/2,x+1/2,-z'
'-y+1/2,-x+1/2,z'
loop_
_atom_site_label
_atom_site_type_symbol
_atom_site_fract_x
_atom_site_fract_y
_atom_site_fract_z
Nd1 Nd 0.250 0.750 0.000
Sm1 Sm 0.250 0.250 0.391
N1 N 0.250 0.250 0.859
O1 O 0.250 0.750 0.500
```